VASP calculation (SCAN) on a crystal of Bi relaxed with PBEsol.

Properties
The formation energy comes out at 2 kJ/mol of atoms. For the total magnetic moment, the calculation gives 0.000 μB per atom. The density is 10.40 g/cm3. Its density of states at the Fermi level is 0.5294 states/eV/atom. As for the relative energy among the computed polymorphs: 0.023 eV per atom.

Lattice parameters (Å, degrees): 3.2196 3.2196 3.2196 90.00 90.00 90.00
Last column: nearest neighbours and their distance in Å.
Space group Pm-3m (No. 221)
Unique sites:
Bi  0.0000  0.0000  0.0000  6 Bi 3.22


VASP calculation (SCAN) on a crystal of YInSbI2 relaxed with PBEsol.

Properties
For the total magnetic moment, the calculation gives 0.000 μB per atom. The density is 5.38 g/cm3. Its density of states at the Fermi level is 0.3449 states/eV/atom. As for the electronic total energy: -34.316 eV per atom.

Lattice parameters (Å, degrees): 5.6101 5.6101 5.6770 90.00 90.00 90.00
Last column: nearest neighbours and their distance in Å.
Space group P4/mmm (No. 123)
Unique sites:
Y  0.0000  0.0000  0.0000  4 Sb 3.97, 8 I 3.99
In  0.5000  0.5000  0.5000  4 I 2.81, 2 Sb 2.84
Sb  0.5000  0.5000  0.0000  2 In 2.84
I  0.0000  0.5000  0.5000  2 In 2.81


VASP calculation (SCAN) on a crystal of TiNO2 relaxed with PBEsol.

Properties
For the total magnetic moment, the calculation gives 0.754 μB per atom. The density is 2.14 g/cm3. Its density of states at the Fermi level is 0.0000 states/eV/atom. As for the electronic total energy: -10.694 eV per atom.

Lattice parameters (Å, degrees): 8.3480 8.3480 8.3480 90.00 90.00 90.00
Last column: nearest neighbours and their distance in Å.
Space group Fd-3m (No. 227, origin choice 2)
Unique sites:
Ti  0.1250  0.1250  0.1250  4 O 1.81
N  0.1250  0.1250  0.6250  12 O 3.46, 4 N 3.61, 4 Ti 3.61
O  0.0000  0.0000  0.0000  2 Ti 1.81


VASP calculation (SCAN) on a crystal of ZrSiAg2 relaxed with PBEsol.

Properties
For the total magnetic moment, the calculation gives 0.000 μB per atom. The density is 8.00 g/cm3. Its density of states at the Fermi level is 0.6030 states/eV/atom. As for the electronic total energy: -25.876 eV per atom.

Lattice parameters (Å, degrees): 9.9978 2.8719 5.1685 90.00 110.44 90.00
Last column: nearest neighbours and their distance in Å.
Space group Cm (No. 8)
Unique sites:
Zr  0.0000  0.0000  0.0000  3 Si 2.74-2.77, 2 Zr 2.87, 4 Ag 2.97-3.03
Si  0.2472  0.5000  0.1069  4 Ag 2.62-2.74, 3 Zr 2.74-2.77, 2 Si 2.87
Ag  0.2077  0.0000  0.6350  2 Si 2.74, 5 Ag 2.78-2.87
Ag  0.4441  0.0000  0.4689  2 Si 2.62, 5 Ag 2.78-2.87


VASP calculation (SCAN) on a crystal of Sr2MoRh relaxed with PBEsol.

Properties
The formation energy comes out at 34 kJ/mol of atoms. For the total magnetic moment, the calculation gives 0.032 μB per atom. The density is 5.86 g/cm3. Its density of states at the Fermi level is 1.0866 states/eV/atom. As for the relative energy among the computed polymorphs: 0.000 eV per atom.

Lattice parameters (Å, degrees): 3.3672 3.3672 9.3443 90.00 90.00 90.00
Last column: nearest neighbours and their distance in Å.
Space group P4mm (No. 99)
Unique sites:
Sr  0.0000  0.0000  0.0000  4 Sr 3.37, 1 Rh 3.37, 4 Mo 3.39
Sr  0.5000  0.5000  0.3947  1 Mo 3.24, 4 Rh 3.30, 4 Sr 3.37
Mo  0.5000  0.5000  0.7411  4 Rh 2.56
Rh  0.0000  0.0000  0.6394  4 Mo 2.56


VASP calculation (SCAN) on a crystal of HPtIO2 relaxed with PBEsol.

Properties
For the total magnetic moment, the calculation gives 0.449 μB per atom. The density is 10.34 g/cm3. Its density of states at the Fermi level is 0.5266 states/eV/atom. As for the electronic total energy: -23.365 eV per atom.

Lattice parameters (Å, degrees): 3.9995 3.9995 3.5650 90.00 90.00 90.00
Last column: nearest neighbours and their distance in Å.
Space group P4/mmm (No. 123)
Unique sites:
H  0.0000  0.0000  0.0000  2 I 1.78
Pt  0.5000  0.5000  0.5000  8 O 2.68, 4 I 2.83
I  0.0000  0.0000  0.5000  2 H 1.78
O  0.0000  0.5000  0.0000  2 H 2.00


VASP calculation (SCAN) on a crystal of Li2CdIn relaxed with PBEsol.

Properties
The formation energy comes out at -20 kJ/mol of atoms. For the total magnetic moment, the calculation gives 0.000 μB per atom. The density is 5.07 g/cm3. Its density of states at the Fermi level is 0.3306 states/eV/atom.

Lattice parameters (Å, degrees): 3.0959 3.0959 28.5298 90.00 90.00 120.00
Last column: nearest neighbours and their distance in Å.
Space group R-3m (No. 166, hexagonal axes)
Unique sites:
Li  0.0000  0.0000  0.2493  3 Cd 2.96, 3 In 2.99, 6 Li 3.10
Cd  0.0000  0.0000  0.5000  6 Li 2.96, 6 Cd 3.10
In  0.0000  0.0000  0.0000  6 Li 2.99, 6 In 3.10


VASP calculation (SCAN) on a crystal of TeAs2Cl relaxed with PBEsol.

Properties
For the total magnetic moment, the calculation gives 0.000 μB per atom. The density is 6.35 g/cm3. Its density of states at the Fermi level is 0.7085 states/eV/atom. As for the relative energy among the computed polymorphs: 0.332 eV per atom.

Lattice parameters (Å, degrees): 6.8932 6.8932 6.8932 90.00 90.00 90.00
Last column: nearest neighbours and their distance in Å.
Space group F-43m (No. 216)
Unique sites:
Te  0.0000  0.0000  0.0000  4 As 2.98, 4 Cl 2.98
As  0.0000  0.0000  0.5000  4 Cl 2.98, 4 As 2.98
As  0.2500  0.2500  0.7500  4 Te 2.98, 4 As 2.98
Cl  0.2500  0.2500  0.2500  4 As 2.98, 4 Te 2.98


VASP calculation (SCAN) on a crystal of Sb2RhIO relaxed with PBEsol.

Properties
For the total magnetic moment, the calculation gives 0.000 μB per atom. The density is 7.92 g/cm3. Its density of states at the Fermi level is 0.6560 states/eV/atom. As for the electronic total energy: -29.726 eV per atom.

Lattice parameters (Å, degrees): 4.5030 4.5030 5.0567 90.00 90.00 90.00
Last column: nearest neighbours and their distance in Å.
Space group P4/mmm (No. 123)
Unique sites:
Sb  0.0000  0.5000  0.0000  2 O 2.25
Rh  0.0000  0.0000  0.5000  4 I 3.18, 8 Sb 3.39
I  0.5000  0.5000  0.5000  2 O 2.53
O  0.5000  0.5000  0.0000  4 Sb 2.25


VASP calculation (SCAN) on a crystal of BaTaPIr2 relaxed with PBEsol.

Properties
The formation energy comes out at 35 kJ/mol of atoms. For the total magnetic moment, the calculation gives 0.155 μB per atom. The density is 12.41 g/cm3. Its density of states at the Fermi level is 0.6969 states/eV/atom.

Lattice parameters (Å, degrees): 4.5637 4.5637 4.7129 90.00 90.00 90.00
Last column: nearest neighbours and their distance in Å.
Space group P4/mmm (No. 123)
Unique sites:
Ba  0.0000  0.0000  0.0000  4 Ta 3.23, 8 Ir 3.28
Ta  0.5000  0.5000  0.0000  2 P 2.36
P  0.5000  0.5000  0.5000  4 Ir 2.28, 2 Ta 2.36
Ir  0.0000  0.5000  0.5000  2 P 2.28


VASP calculation (SCAN) on a crystal of KAuOF2 relaxed with PBEsol.

Properties
For the total magnetic moment, the calculation gives 0.140 μB per atom. The density is 6.07 g/cm3. Its density of states at the Fermi level is 0.3468 states/eV/atom. As for the relative energy among the computed polymorphs: 0.000 eV per atom.

Lattice parameters (Å, degrees): 4.5243 4.5243 3.8753 90.00 90.00 90.00
Last column: nearest neighbours and their distance in Å.
Space group P4/mmm (No. 123)
Unique sites:
K  0.0000  0.0000  0.0000  8 F 2.98, 4 O 3.20
Au  0.5000  0.5000  0.5000  2 O 1.94
O  0.5000  0.5000  0.0000  2 Au 1.94
F  0.0000  0.5000  0.5000  2 Au 2.26


VASP calculation (SCAN) on a crystal of La3YSc4O12 relaxed with PBEsol.

Properties
For the total magnetic moment, the calculation gives 0.000 μB per atom. The density is 5.67 g/cm3. Its density of states at the Fermi level is 0.0000 states/eV/atom. As for the electronic total energy: -18.326 eV per atom.

Lattice parameters (Å, degrees): 5.5818 8.0046 5.7564 90.00 90.03 90.00
Last column: nearest neighbours and their distance in Å.
Space group Pm (No. 6)
Unique sites:
La  0.0000  0.0000  0.0000  6 O 2.37-2.62
La  0.0252  0.5000  0.1007  4 O 2.35-2.51
La  0.5261  0.0000  0.5072  4 O 2.34-2.48
Y  0.4942  0.5000  0.6113  4 O 2.24-2.32
Sc  0.0125  0.2545  0.5514  6 O 2.08-2.12
Sc  0.5158  0.2532  0.0538  6 O 2.08-2.12
O  0.1134  0.0000  0.5817  2 Sc 2.12, 1 La 2.34
O  0.2225  0.3095  0.8438  2 Sc 2.08-2.10
O  0.3215  0.3154  0.3586  2 Sc 2.11-2.12, 1 Y 2.29
O  0.4142  0.0000  0.0894  2 Sc 2.11, 1 La 2.37
O  0.6178  0.5000  0.9956  2 Sc 2.08, 1 Y 2.32
O  0.7188  0.1943  0.7562  2 Sc 2.08-2.11
O  0.8197  0.1997  0.2489  2 Sc 2.08-2.09
O  0.8833  0.5000  0.5152  2 Sc 2.10, 1 Y 2.24


Which formula does entry 7 have?
Li2CdIn


The highest density of states at the Fermi level belongs to which entry?
Sr2MoRh


Which value of total magnetic moment does entry 2 give?
0.000 μB per atom